[1]
# CrFeOs, relaxed, DFT PBE
# Crystal system = hexagonal
# Relative energy among the computed polymorphs = 0.00 eV/f.u.
# V = 36.56 Å³/f.u.
data_CrFeOs
_chemical_formula_sum 'Cr1 Fe1 Os1'
_space_group_name_H-M_alt 'P -6 m 2'
_space_group_IT_number 187
_space_group_name_Hall 'P -6 2'
_cell_length_a 4.0216
_cell_length_b 4.0216
_cell_length_c 2.6099
_cell_angle_alpha 90.00
_cell_angle_beta 90.00
_cell_angle_gamma 120.00
loop_
_atom_site_label
_atom_site_type_symbol
_atom_site_fract_x
_atom_site_fract_y
_atom_site_fract_z
Cr1 Cr 0.0000 0.0000 0.0000
Fe1 Fe 0.3333 0.6667 0.0000
Os1 Os 0.6667 0.3333 0.5000



[2]
# CrFe3Os, relaxed, DFT PBE
# Crystal system = cubic
# Relative energy among the computed polymorphs = 0.00 eV/f.u.
# V = 69.34 Å³/f.u.
data_CrFe3Os
_chemical_formula_sum 'Cr1 Fe3 Os1'
_space_group_name_H-M_alt 'P m -3 m'
_space_group_IT_number 221
_space_group_name_Hall '-P 4 2 3'
_cell_length_a 4.1082
_cell_length_b 4.1082
_cell_length_c 4.1082
_cell_angle_alpha 90.00
_cell_angle_beta 90.00
_cell_angle_gamma 90.00
loop_
_atom_site_label
_atom_site_type_symbol
_atom_site_fract_x
_atom_site_fract_y
_atom_site_fract_z
Cr1 Cr 0.0000 0.0000 0.0000
Fe1 Fe 0.0000 0.0000 0.5000
Os1 Os 0.5000 0.5000 0.5000



[3]
# CrFeOs3, relaxed, DFT PBE
# Crystal system = triclinic
# Relative energy among the computed polymorphs = 0.00 eV/f.u.
# V = 67.66 Å³/f.u.
data_CrFeOs3
_chemical_formula_sum 'Cr2 Fe2 Os6'
_space_group_name_H-M_alt 'P -1'
_space_group_IT_number 2
_cell_length_a 2.6955
_cell_length_b 6.2284
_cell_length_c 8.6631
_cell_angle_alpha 102.76
_cell_angle_beta 98.93
_cell_angle_gamma 102.47
loop_
_space_group_symop_operation_xyz
'x,y,z'
'-x,-y,-z'
loop_
_atom_site_label
_atom_site_type_symbol
_atom_site_fract_x
_atom_site_fract_y
_atom_site_fract_z
Cr1 Cr 0.1354 0.4266 0.3433
Fe1 Fe 0.3731 0.3912 0.8553
Os1 Os 0.1250 0.8027 0.9461
Os2 Os 0.1349 0.2176 0.5526
Os3 Os 0.4008 0.0277 0.2737



[4]
# Cr2FeOs, relaxed, DFT PBE
# Crystal system = tetragonal
# Relative energy among the computed polymorphs = 0.00 eV/f.u.
# V = 49.03 Å³/f.u.
data_Cr2FeOs
_chemical_formula_sum 'Cr4 Fe2 Os2'
_space_group_name_H-M_alt 'I 4/m m m'
_space_group_IT_number 139
_space_group_name_Hall '-I 4 2'
_cell_length_a 3.6796
_cell_length_b 3.6796
_cell_length_c 7.2418
_cell_angle_alpha 90.00
_cell_angle_beta 90.00
_cell_angle_gamma 90.00
loop_
_atom_site_label
_atom_site_type_symbol
_atom_site_fract_x
_atom_site_fract_y
_atom_site_fract_z
Cr1 Cr 0.0000 0.5000 0.2500
Fe1 Fe 0.0000 0.0000 0.0000
Os1 Os 0.0000 0.0000 0.5000



[5]
# CrFe2Os, relaxed, DFT PBE
# Crystal system = monoclinic
# Total energy = -37.2 eV per cell
# V = 49.89 Å³/f.u.
data_CrFe2Os
_chemical_formula_sum 'Cr1 Fe2 Os1'
_space_group_name_H-M_alt 'P 1 m 1'
_space_group_IT_number 6
_cell_length_a 2.5452
_cell_length_b 4.0750
_cell_length_c 4.8946
_cell_angle_alpha 90.00
_cell_angle_beta 100.67
_cell_angle_gamma 90.00
loop_
_space_group_symop_operation_xyz
'x,y,z'
'x,-y,z'
loop_
_atom_site_label
_atom_site_type_symbol
_atom_site_fract_x
_atom_site_fract_y
_atom_site_fract_z
Cr1 Cr 0.0000 0.0000 0.0000
Fe1 Fe 0.5389 0.0000 0.4846
Fe2 Fe 0.7544 0.5000 0.2557
Os1 Os 0.2499 0.5000 0.7550



[6]
# Cr2FeOs, relaxed, DFT PBE
# Crystal system = tetragonal
# Relative energy among the computed polymorphs = 0.46 eV/f.u.
# V = 49.13 Å³/f.u.
data_Cr2FeOs
_chemical_formula_sum 'Cr2 Fe1 Os1'
_space_group_name_H-M_alt 'P 4 m m'
_space_group_IT_number 99
_cell_length_a 2.6046
_cell_length_b 2.6046
_cell_length_c 7.2419
_cell_angle_alpha 90.00
_cell_angle_beta 90.00
_cell_angle_gamma 90.00
loop_
_space_group_symop_operation_xyz
'x,y,z'
'-y,x,z'
'-x,-y,z'
'y,-x,z'
'-x,y,z'
'y,x,z'
'x,-y,z'
'-y,-x,z'
loop_
_atom_site_label
_atom_site_type_symbol
_atom_site_fract_x
_atom_site_fract_y
_atom_site_fract_z
Cr1 Cr 0.0000 0.0000 0.0000
Cr2 Cr 0.5000 0.5000 0.2510
Fe1 Fe 0.0000 0.0000 0.4850
Os1 Os 0.5000 0.5000 0.7412



[7]
# CrFeOs, relaxed, DFT PBE
# Crystal system = orthorhombic
# Relative energy among the computed polymorphs = 0.62 eV/f.u.
# V = 38.66 Å³/f.u.
data_CrFeOs
_chemical_formula_sum 'Cr4 Fe4 Os4'
_space_group_name_H-M_alt 'F m m 2'
_space_group_IT_number 42
_space_group_name_Hall 'F 2 -2'
_cell_length_a 2.8903
_cell_length_b 4.2856
_cell_length_c 12.4845
_cell_angle_alpha 90.00
_cell_angle_beta 90.00
_cell_angle_gamma 90.00
loop_
_atom_site_label
_atom_site_type_symbol
_atom_site_fract_x
_atom_site_fract_y
_atom_site_fract_z
Cr1 Cr 0.0000 0.0000 0.0000
Fe1 Fe 0.0000 0.0000 0.3423
Os1 Os 0.0000 0.0000 0.6675



[8]
# CrFeOs, relaxed, DFT PBE
# Crystal system = cubic
# Relative energy among the computed polymorphs = 1.48 eV/f.u.
# V = 43.17 Å³/f.u.
data_CrFeOs
_chemical_formula_sum 'Cr4 Fe4 Os4'
_space_group_name_H-M_alt 'F -4 3 m'
_space_group_IT_number 216
_space_group_name_Hall 'F -4 2 3'
_cell_length_a 5.5687
_cell_length_b 5.5687
_cell_length_c 5.5687
_cell_angle_alpha 90.00
_cell_angle_beta 90.00
_cell_angle_gamma 90.00
loop_
_atom_site_label
_atom_site_type_symbol
_atom_site_fract_x
_atom_site_fract_y
_atom_site_fract_z
Cr1 Cr 0.0000 0.0000 0.0000
Fe1 Fe 0.2500 0.2500 0.2500
Os1 Os 0.2500 0.2500 0.7500



What is the formula in the sixth record? Cr2FeOs



What is the formula in the eighth record? CrFeOs



Which of these has the lowest V? number 1



Number 2 is which compound? CrFe3Os